--- w ---
A relaxed SrLaNd2 crystal. Source: Alexandria, functional PBE-GGA.

Output
Magnetization = 0.00 μB/f.u.

abc: 3.7969 3.7969 37.5491
angles: 90.00 90.00 120.00
Space group R3m (No. 160, hexagonal axes)
Symmetry-distinct sites (fractional):
Sr  0.0000  0.0000  0.0000 (multiplicity 3)
La  0.0000  0.0000  0.1656 (multiplicity 3)
Nd  0.0000  0.0000  0.5777 (multiplicity 3)
Nd  0.0000  0.0000  0.7543 (multiplicity 3)



--- x ---
A relaxed SrLaNd2 crystal. Source: Alexandria, functional PBE-GGA.

Output
Magnetization = 0.00 μB/f.u.

abc: 3.7153 3.7153 39.6224
angles: 90.00 90.00 120.00
Space group R-3m (No. 166, hexagonal axes)
Symmetry-distinct sites (fractional):
Sr  0.0000  0.0000  0.0000 (multiplicity 3)
La  0.0000  0.0000  0.5000 (multiplicity 3)
Nd  0.0000  0.0000  0.0916 (multiplicity 6)



--- y ---
A relaxed SrLaNd2 crystal. Source: Alexandria, functional PBE-GGA.

Output
Magnetization = 1.22 μB/f.u.

abc: 8.5611 8.5611 8.5611
angles: 90.00 90.00 90.00
Space group Fm-3m (No. 225)
Symmetry-distinct sites (fractional):
Sr  0.0000  0.0000  0.0000 (multiplicity 4)
La  0.0000  0.0000  0.5000 (multiplicity 4)
Nd  0.2500  0.2500  0.2500 (multiplicity 8)



Question: of the structures shown, which is the most stable? Reply: w.